Entry 1:
The following is a PBE calculation of a relaxed structure of Mn2BeTl, from Alexandria via LeMat-Bulk.

Cell and atoms, written as POSCAR:
```
Mn2BeTl
1.0
2.9227 0.0000 0.0000
0.0000 3.6257 0.0000
-1.4436 0.0000 5.6969
Mn Be Tl
2 1 1
Cartesian
0.0000 0.0000 0.0000
0.0143 1.8128 4.2473
1.4738 0.0000 3.4539
1.4619 1.8128 1.6173
```

The space group is Pm.

Entry 2:
The following is a PBE calculation of a relaxed structure of Mn2BeTl, from Alexandria via LeMat-Bulk.

Cell and atoms, written as POSCAR:
```
Mn2BeTl
1.0
2.8642 0.0000 0.0000
0.0000 2.8642 0.0000
0.0000 0.0000 6.9612
Mn Be Tl
2 1 1
Cartesian
0.0000 0.0000 1.3192
0.0000 0.0000 5.6420
1.4321 1.4321 0.0000
1.4321 1.4321 3.4806
```

The space group is P4/mmm.

Entry 3:
The following is a PBE calculation of a relaxed structure of Mn2BeTl, from Alexandria via LeMat-Bulk.

Cell and atoms, written as POSCAR:
```
Mn2BeTl
1.0
2.9504 0.0000 0.0000
0.0000 2.9504 0.0000
0.0000 0.0000 6.5297
Mn Be Tl
2 1 1
Cartesian
0.0000 0.0000 0.0000
1.4752 1.4752 1.3995
1.4752 1.4752 5.4818
0.0000 0.0000 3.4963
```

The space group is P4mm.

Entry 4:
The following is a PBE calculation of a relaxed structure of Mn2BeTl, from Alexandria via LeMat-Bulk.

Cell and atoms, written as POSCAR:
```
Mn2BeTl
1.0
1.4754 0.8518 8.0844
-1.4754 0.8518 8.0844
0.0000 -1.7036 8.0844
Mn Be Tl
2 1 1
Cartesian
0.0000 0.0000 0.0000
0.0000 0.0000 6.3514
0.0000 0.0000 12.7925
0.0000 0.0000 18.6336
```

The space group is R3m.

Entry 5:
The following is a PBE calculation of a relaxed structure of MnBeTl4, from Alexandria via LeMat-Bulk.

Cell and atoms, written as POSCAR:
```
MnBeTl4
1.0
0.0000 4.4301 4.4301
4.4301 0.0000 4.4301
4.4301 4.4301 0.0000
Mn Be Tl
1 1 4
Cartesian
0.0000 0.0000 0.0000
2.2151 2.2151 2.2151
5.5376 3.3227 3.3227
3.3227 5.5376 3.3227
3.3227 3.3227 5.5376
5.5376 5.5376 5.5376
```

The space group is F-43m.

Entry 6:
The following is a PBE calculation of a relaxed structure of Mn2BeTl, from Alexandria via LeMat-Bulk.

Cell and atoms, written as POSCAR:
```
Mn2BeTl
1.0
-1.9256 1.9320 3.8792
1.9256 -1.9320 3.8792
1.9256 1.9320 -3.8792
Mn Be Tl
2 1 1
Cartesian
0.0000 0.0000 1.9423
0.0000 0.0000 5.8161
0.0000 1.9320 0.0000
1.9256 0.0000 0.0000
```

The space group is Immm.

Number 1: energy -22.6 eV per formula unit. Number 2: energy -23.0 eV per formula unit. Number 3: energy -22.9 eV per formula unit. Number 4: energy -21.5 eV per formula unit. Number 5: energy -16.8 eV per formula unit. Number 6: energy -22.7 eV per formula unit.